Record 1
Here is a relaxed structure of ZrPH2O5 from OQMD via LeMat-Bulk. Energies are from PBE.

## Properties
magnetic moment = 1.0 μB per formula unit
E above lowest polymorph = 0 meV per atom

```
ZrPH2O5
1.0
5.461 0.000 0.000
-1.581 5.358 0.000
-0.829 -1.730 6.332
Zr P H O
2 2 4 10
direct
0.122 0.208 0.190
0.878 0.792 0.810
0.247 0.385 0.731
0.753 0.615 0.269
0.407 0.846 0.266
0.415 0.886 0.767
0.585 0.114 0.233
0.593 0.154 0.734
0.082 0.272 0.510
0.169 0.179 0.859
0.194 0.633 0.847
0.421 0.031 0.275
0.458 0.555 0.262
0.542 0.445 0.738
0.579 0.969 0.725
0.806 0.367 0.153
0.831 0.821 0.141
0.918 0.728 0.490
```

***

Record 2
Here is a relaxed structure of ZrPH2O5 from OQMD via LeMat-Bulk. Energies are from PBE.

## Properties
magnetic moment = 0.0 μB per formula unit
E above lowest polymorph = 25 meV per atom

```
ZrPH2O5
1.0
3.370 -4.156 0.000
3.370 4.156 0.000
-2.777 0.000 6.548
Zr P H O
2 2 4 10
direct
0.000 0.000 0.000
0.000 0.000 0.500
0.343 0.657 0.750
0.657 0.343 0.250
0.103 0.619 0.205
0.381 0.897 0.295
0.619 0.103 0.705
0.897 0.381 0.795
0.126 0.654 0.859
0.176 0.824 0.250
0.274 0.377 0.595
0.346 0.874 0.641
0.377 0.274 0.095
0.623 0.726 0.905
0.654 0.126 0.359
0.726 0.623 0.405
0.824 0.176 0.750
0.874 0.346 0.141
```

***

Record 3
Here is a relaxed structure of H2PdPb2O4 from OQMD via LeMat-Bulk. Energies are from PBE.

```
H2PdPb2O4
1.0
5.904 0.000 0.000
0.000 10.351 0.000
-0.179 0.000 7.896
H Pd Pb O
8 4 8 16
direct
0.189 0.084 0.262
0.189 0.416 0.762
0.280 0.591 0.233
0.280 0.909 0.733
0.720 0.091 0.267
0.720 0.409 0.767
0.811 0.584 0.238
0.811 0.916 0.738
0.000 0.000 0.000
0.000 0.500 0.500
0.500 0.000 0.500
0.500 0.500 0.000
0.012 0.182 0.608
0.012 0.318 0.108
0.492 0.673 0.605
0.492 0.827 0.105
0.508 0.173 0.895
0.508 0.327 0.395
0.988 0.682 0.892
0.988 0.818 0.392
0.028 0.094 0.227
0.028 0.406 0.727
0.124 0.163 0.896
0.124 0.337 0.396
0.394 0.168 0.601
0.394 0.332 0.101
0.443 0.604 0.215
0.443 0.896 0.715
0.557 0.104 0.285
0.557 0.396 0.785
0.606 0.668 0.899
0.606 0.832 0.399
0.876 0.663 0.604
0.876 0.837 0.104
0.972 0.594 0.273
0.972 0.906 0.773
```

***

Record 4
Here is a relaxed structure of H2PdPb2O4 from OQMD via LeMat-Bulk. Energies are from PBE.

```
H2PdPb2O4
1.0
5.796 0.000 0.000
2.859 5.177 0.000
0.199 0.020 8.017
H Pd Pb O
4 2 4 8
direct
0.084 0.193 0.246
0.389 0.805 0.765
0.611 0.195 0.235
0.916 0.807 0.754
0.000 0.000 0.500
0.500 0.000 0.000
0.177 0.653 0.103
0.317 0.344 0.606
0.683 0.656 0.394
0.823 0.347 0.897
0.068 0.665 0.392
0.085 0.795 0.717
0.222 0.332 0.897
0.437 0.210 0.213
0.563 0.790 0.787
0.778 0.668 0.103
0.915 0.205 0.283
0.932 0.335 0.608
```

***

Record 5
Here is a relaxed structure of H6PdO2 from OQMD via LeMat-Bulk. Energies are from PBE.

```
H6PdO2
1.0
2.945 0.000 0.000
0.109 4.670 0.000
0.112 0.408 5.097
H Pd O
6 1 2
direct
0.070 0.249 0.017
0.267 0.774 0.565
0.350 0.146 0.027
0.650 0.854 0.973
0.733 0.226 0.435
0.930 0.751 0.983
0.500 0.500 0.000
0.010 0.852 0.457
0.990 0.148 0.543
```

***

Record 6
Here is a relaxed structure of H2PdSeO5 from OQMD via LeMat-Bulk. Energies are from PBE.

```
H2PdSeO5
1.0
3.528 -4.018 0.000
3.528 4.018 0.000
-3.525 0.000 6.925
H Pd Se O
4 2 2 10
direct
0.081 0.656 0.706
0.344 0.919 0.794
0.656 0.081 0.206
0.919 0.344 0.294
0.000 0.000 0.000
0.000 0.000 0.500
0.349 0.651 0.250
0.651 0.349 0.750
0.091 0.643 0.335
0.139 0.861 0.750
0.287 0.360 0.064
0.357 0.909 0.165
0.360 0.287 0.564
0.640 0.713 0.436
0.643 0.091 0.835
0.713 0.640 0.936
0.861 0.139 0.250
0.909 0.357 0.665
```

***

Record 7
Here is a relaxed structure of PmSiHO4 from OQMD via LeMat-Bulk. Energies are from PBE.

## Properties
magnetic moment = 0.0 μB per formula unit
E above lowest polymorph = 43 meV per atom

```
PmSiHO4
1.0
4.546 0.000 0.000
0.000 6.715 0.000
-0.605 0.000 4.937
Pm Si H O
2 2 2 8
direct
0.070 0.250 0.207
0.930 0.750 0.793
0.439 0.750 0.301
0.561 0.250 0.699
0.500 0.000 0.000
0.500 0.500 0.000
0.204 0.250 0.700
0.294 0.559 0.114
0.294 0.941 0.114
0.373 0.750 0.611
0.627 0.250 0.389
0.706 0.059 0.886
0.706 0.441 0.886
0.796 0.750 0.300
```

***

Record 8
Here is a relaxed structure of PmSiHO4 from OQMD via LeMat-Bulk. Energies are from PBE.

## Properties
magnetic moment = 0.0 μB per formula unit
E above lowest polymorph = 17 meV per atom

```
PmSiHO4
1.0
7.316 0.000 0.000
0.000 6.741 0.000
-2.031 0.000 6.606
Pm Si H O
4 4 4 16
direct
0.178 0.139 0.152
0.178 0.361 0.652
0.822 0.639 0.348
0.822 0.861 0.848
0.254 0.596 0.167
0.254 0.904 0.667
0.746 0.096 0.333
0.746 0.404 0.833
0.486 0.707 0.886
0.486 0.793 0.386
0.514 0.207 0.614
0.514 0.293 0.114
0.117 0.715 0.590
0.117 0.785 0.090
0.178 0.050 0.815
0.178 0.450 0.315
0.283 0.050 0.490
0.283 0.450 0.990
0.475 0.682 0.291
0.475 0.818 0.791
0.525 0.182 0.209
0.525 0.318 0.709
0.717 0.550 0.010
0.717 0.950 0.510
0.822 0.550 0.685
0.822 0.950 0.185
0.883 0.215 0.910
0.883 0.285 0.410
```

***

Record 9
Here is a relaxed structure of PmSiHO4 from OQMD via LeMat-Bulk. Energies are from PBE.

## Properties
magnetic moment = 0.0 μB per formula unit
E above lowest polymorph = 56 meV per atom

```
PmSiHO4
1.0
13.061 0.000 0.000
0.000 15.875 0.000
0.000 0.000 4.398
Pm Si H O
12 12 12 48
direct
0.077 0.095 0.163
0.077 0.405 0.163
0.107 0.750 0.316
0.393 0.250 0.816
0.423 0.595 0.663
0.423 0.905 0.663
0.577 0.095 0.337
0.577 0.405 0.337
0.607 0.750 0.184
0.893 0.250 0.684
0.923 0.595 0.837
0.923 0.905 0.837
0.126 0.250 0.734
0.155 0.586 0.728
0.155 0.914 0.728
0.345 0.086 0.228
0.345 0.414 0.228
0.374 0.750 0.234
0.626 0.250 0.766
0.655 0.586 0.772
0.655 0.914 0.772
0.845 0.086 0.272
0.845 0.414 0.272
0.874 0.750 0.266
0.215 0.250 0.329
0.241 0.585 0.158
0.241 0.915 0.158
0.259 0.085 0.658
0.259 0.415 0.658
0.285 0.750 0.829
0.715 0.250 0.171
0.741 0.585 0.342
0.741 0.915 0.342
0.759 0.085 0.842
0.759 0.415 0.842
0.785 0.750 0.671
0.058 0.166 0.660
0.058 0.334 0.660
0.074 0.508 0.759
0.074 0.992 0.759
0.085 0.666 0.844
0.085 0.834 0.844
0.141 0.250 0.100
0.196 0.617 0.399
0.196 0.883 0.399
0.237 0.250 0.557
0.239 0.067 0.423
0.239 0.433 0.423
0.261 0.567 0.923
0.261 0.933 0.923
0.263 0.750 0.057
0.304 0.117 0.899
0.304 0.383 0.899
0.359 0.750 0.600
0.415 0.166 0.344
0.415 0.334 0.344
0.426 0.008 0.259
0.426 0.492 0.259
0.442 0.666 0.160
0.442 0.834 0.160
0.558 0.166 0.840
0.558 0.334 0.840
0.574 0.508 0.741
0.574 0.992 0.741
0.585 0.666 0.656
0.585 0.834 0.656
0.641 0.250 0.400
0.696 0.617 0.101
0.696 0.883 0.101
0.737 0.250 0.943
0.739 0.067 0.077
0.739 0.433 0.077
0.761 0.567 0.577
0.761 0.933 0.577
0.763 0.750 0.443
0.804 0.117 0.601
0.804 0.383 0.601
0.859 0.750 0.900
0.915 0.166 0.156
0.915 0.334 0.156
0.926 0.008 0.241
0.926 0.492 0.241
0.942 0.666 0.340
0.942 0.834 0.340
```

***

Record 10
Here is a relaxed structure of PmSiHO4 from OQMD via LeMat-Bulk. Energies are from PBE.

## Properties
magnetic moment = 0.0 μB per formula unit
E above lowest polymorph = 157 meV per atom

```
PmSiHO4
1.0
9.880 0.000 0.000
0.000 7.176 0.000
0.000 0.000 4.468
Pm Si H O
4 4 4 16
direct
0.095 0.250 0.152
0.405 0.750 0.652
0.595 0.250 0.348
0.905 0.750 0.848
0.146 0.750 0.345
0.354 0.250 0.845
0.646 0.750 0.155
0.854 0.250 0.655
0.000 0.000 0.500
0.000 0.500 0.500
0.500 0.000 0.000
0.500 0.500 0.000
0.049 0.566 0.269
0.049 0.934 0.269
0.161 0.750 0.707
0.203 0.250 0.705
0.297 0.750 0.205
0.339 0.250 0.207
0.451 0.066 0.769
0.451 0.434 0.769
0.549 0.566 0.231
0.549 0.934 0.231
0.661 0.750 0.793
0.703 0.250 0.795
0.797 0.750 0.295
0.839 0.250 0.293
0.951 0.066 0.731
0.951 0.434 0.731
```

***

Record 11
Here is a relaxed structure of PmSiHO4 from OQMD via LeMat-Bulk. Energies are from PBE.

## Properties
magnetic moment = 0.0 μB per formula unit
E above lowest polymorph = 85 meV per atom

```
PmSiHO4
1.0
7.786 4.495 2.600
-7.786 4.495 2.600
0.000 -8.990 2.600
Pm Si H O
6 6 6 24
direct
0.104 0.570 0.363
0.363 0.104 0.570
0.430 0.637 0.896
0.570 0.363 0.104
0.637 0.896 0.430
0.896 0.430 0.637
0.149 0.241 0.803
0.197 0.851 0.759
0.241 0.803 0.149
0.759 0.197 0.851
0.803 0.149 0.241
0.851 0.759 0.197
0.065 0.165 0.334
0.165 0.334 0.065
0.334 0.065 0.165
0.666 0.935 0.835
0.835 0.666 0.935
0.935 0.835 0.666
0.015 0.659 0.953
0.046 0.266 0.341
0.047 0.985 0.341
0.113 0.387 0.774
0.198 0.660 0.704
0.226 0.887 0.613
0.266 0.341 0.046
0.296 0.802 0.340
0.340 0.296 0.802
0.341 0.046 0.266
0.341 0.047 0.985
0.387 0.774 0.113
0.613 0.226 0.887
0.659 0.953 0.015
0.659 0.954 0.734
0.660 0.704 0.198
0.704 0.198 0.660
0.734 0.659 0.954
0.774 0.113 0.387
0.802 0.340 0.296
0.887 0.613 0.226
0.953 0.015 0.659
0.954 0.734 0.659
0.985 0.341 0.047
```

***

Record 12
Here is a relaxed structure of PmSiHO4 from OQMD via LeMat-Bulk. Energies are from PBE.

## Properties
magnetic moment = 0.0 μB per formula unit
E above lowest polymorph = 60 meV per atom

```
PmSiHO4
1.0
7.260 4.192 2.729
-7.260 4.192 2.729
0.000 -8.383 2.729
Pm Si H O
6 6 6 24
direct
0.030 0.206 0.764
0.206 0.764 0.030
0.257 0.710 0.561
0.561 0.257 0.710
0.710 0.561 0.257
0.764 0.030 0.206
0.104 0.928 0.333
0.333 0.104 0.928
0.441 0.591 0.857
0.591 0.857 0.441
0.857 0.441 0.591
0.928 0.333 0.104
0.020 0.846 0.742
0.246 0.292 0.554
0.292 0.554 0.246
0.554 0.246 0.292
0.742 0.020 0.846
0.846 0.742 0.020
0.008 0.383 0.323
0.027 0.740 0.349
0.036 0.647 0.657
0.063 0.088 0.440
0.088 0.440 0.063
0.094 0.987 0.846
0.246 0.515 0.860
0.323 0.008 0.383
0.349 0.027 0.740
0.383 0.323 0.008
0.389 0.412 0.653
0.412 0.653 0.389
0.440 0.063 0.088
0.489 0.786 0.853
0.515 0.860 0.246
0.647 0.657 0.036
0.653 0.389 0.412
0.657 0.036 0.647
0.740 0.349 0.027
0.786 0.853 0.489
0.846 0.094 0.987
0.853 0.489 0.786
0.860 0.246 0.515
0.987 0.846 0.094
```

***

Q: Which DFT total energy values were calculated for the entries above? A: -7.067 -7.042 -5.265 -5.264 -3.962 -5.037 -7.419 -7.445 -7.406 -7.305 -7.377 -7.402, in eV per atom.
Q: Which ρ values were calculated for the entries above? A: 3.7 3.7 8.1 8.1 3.4 4.5 5.2 4.9 5.2 5.0 4.3 4.8, in g cm⁻³.